# 1
Density functional theory data (PBE) for crystalline Mg7Rh6 at its relaxed geometry.

The structure belongs to space group R-3m (No. 166, hexagonal axes); the cell edges are 5.2733, 5.2733 and 26.5640 Å and the angles 90.00°, 90.00° and 120.00°. Symmetry generates all atoms from Mg at (0.0000, 0.0000, 0.0000), Mg at (0.0070, 0.5035, 0.4176), Rh at (0.0000, 0.0000, 0.1661), Rh at (0.0000, 0.0000, 0.3448) and Rh at (0.0000, 0.0000, 0.4529).

As for the energy of formation: 119 kJ/mol of formula units.

# 2
Density functional theory data (PBE) for crystalline Pm6HoSc at its relaxed geometry.

The structure belongs to space group P4/mmm (No. 123); the cell edges are 5.0697, 5.0697 and 10.1399 Å and the angles 90.00°, 90.00° and 90.00°. Symmetry generates all atoms from Pm at (0.0000, 0.0000, 0.0000), Pm at (0.0000, 0.0000, 0.5000), Pm at (0.0000, 0.5000, 0.2454), Ho at (0.5000, 0.5000, 0.5000) and Sc at (0.5000, 0.5000, 0.0000).

As for the energy of formation: 22 kJ/mol of formula units.

# 3
Density functional theory data (PBE) for crystalline Rb2TeI4Br2 at its relaxed geometry.

The structure belongs to space group C2/m (No. 12); the cell edges are 14.0958, 8.2904 and 8.4671 Å and the angles 90.00°, 126.86° and 90.00°. Symmetry generates all atoms from Rb at (0.2480, 0.0000, 0.2703), Te at (0.0000, 0.0000, 0.5000), I at (0.0312, 0.2519, 0.7774) and Br at (0.2397, 0.0000, 0.6818).

The value obtained for the energy relative to the elements, uncorrected is -849 meV/atom.

# 4
Density functional theory data (PBE) for crystalline Ba4SbTeI2 at its relaxed geometry.

The structure belongs to space group P2/m (No. 10); the cell edges are 8.7223, 5.0427 and 8.7262 Å and the angles 90.00°, 109.48° and 90.00°. Symmetry generates all atoms from Ba at (0.2360, 0.0000, 0.2240), Ba at (0.2523, 0.5000, 0.7742), Sb at (0.0000, 0.5000, 0.0000), Te at (0.5000, 0.0000, 0.0000), I at (0.0000, 0.0000, 0.5000) and I at (0.5000, 0.5000, 0.5000).

The value obtained for the energy relative to the elements, uncorrected is -1500 meV/atom.

# 5
Density functional theory data (PBE) for crystalline Ti2HCl8 at its relaxed geometry.

The structure belongs to space group C2/m (No. 12); the cell edges are 12.7125, 8.8541 and 7.8147 Å and the angles 90.00°, 100.96° and 90.00°. Symmetry generates all atoms from Ti at (0.2088, 0.0000, 0.1866), H at (0.0000, 0.0000, 0.5000), Cl at (0.1172, 0.5000, 0.7289), Cl at (0.1409, 0.2009, 0.2861) and Cl at (0.1685, 0.0000, 0.9019).

As for the total DFT energy (no corrections): -4.32 eV per atom.

# 6
Density functional theory data (PBE) for crystalline Ta7Nb2Ru2 at its relaxed geometry.

The structure belongs to space group C2/m (No. 12); the cell edges are 7.8742, 10.0287 and 5.7345 Å and the angles 90.00°, 115.48° and 90.00°. Symmetry generates all atoms from Ta at (0.0000, 0.0000, 0.0000), Ta at (0.1646, 0.5000, 0.9894), Ta at (0.1924, 0.2453, 0.2124), Nb at (0.1753, 0.5000, 0.4932) and Ru at (0.0000, 0.1298, 0.5000).

As for the energy of formation: 358 kJ/mol of formula units.

# 7
Density functional theory data (PBE) for crystalline CeTh2Fe at its relaxed geometry.

The structure belongs to space group P4/mmm (No. 123); the cell edges are 3.5330, 3.5330 and 8.0814 Å and the angles 90.00°, 90.00° and 90.00°. Symmetry generates all atoms from Ce at (0.0000, 0.0000, 0.0000), Th at (0.5000, 0.5000, 0.2888) and Fe at (0.0000, 0.0000, 0.5000).

As for the energy of formation: 27 kJ/mol of formula units.

# 8
Density functional theory data (PBE) for crystalline Pa13Ir2 at its relaxed geometry.

The structure belongs to space group P-1 (No. 2); the cell edges are 6.3640, 6.3789 and 9.8755 Å and the angles 73.98°, 71.27° and 75.39°. Symmetry generates all atoms from Pa at (0.0000, 0.0000, 0.0000), Pa at (0.0703, 0.2305, 0.4576), Pa at (0.1651, 0.3785, 0.7333), Pa at (0.2508, 0.4818, 0.9953), Pa at (0.3337, 0.6661, 0.2434), Pa at (0.4083, 0.1183, 0.2034), Pa at (0.4748, 0.7551, 0.5115) and Ir at (0.1404, 0.8908, 0.7461).

As for the energy of formation: -152 kJ/mol of formula units.

| no. | total magnetization (μB/f.u.) |
| --- | --- |
| 1 | 1.522 |
| 2 | 0.000 |
| 3 | 0.000 |
| 4 | 0.000 |
| 5 | 1.000 |
| 6 | 0.000 |
| 7 | 1.455 |
| 8 | 0.000 |